Here is a relaxed structure of FeCoSbO6 from the Alexandria database. Energies are from GGA+U.

Cell and atoms, written as extended XYZ:
```
18
Lattice="-2.4530 -1.3762 -4.1378 -2.0692 -0.7343 4.4958 -3.7384 7.9384 -0.4240" Properties=species:S:1:pos:R:3 pbc="T T T"
Fe -1.8692 3.9692 -0.2120
O -5.3152 3.6265 0.0430
O -3.5926 -0.5646 -2.6091
O -3.0469 2.0085 -2.8247
Sb -5.1289 4.7915 -1.5779
O -5.1294 1.1083 -1.3164
Fe 0.0000 0.0000 0.0000
O -5.2137 3.8194 2.7586
O -3.4527 -0.3539 0.1034
O -4.6680 6.3925 2.5431
Sb -3.1317 1.0363 1.5119
Co -3.2597 0.8224 -1.3660
O -1.3911 0.5346 -1.4399
O -3.1312 4.7195 1.2504
O -6.8695 5.2933 1.3739
Co -5.0009 5.0055 1.2999
O -2.9454 2.2013 -0.1091
O -4.8079 6.1818 -0.1695
```

The volume is 10.58 Å³ per atom. The value obtained for the total energy is -6.096 eV per atom.